Record 1
First-principles (PBE) data for crystalline Mn2SiPt at its relaxed geometry, as listed in Alexandria.

Output
crystal system: tetragonal
formation energy from raw total energies: -0.3049 eV/atom
total DFT energy (no corrections): -7.76 eV/atom

a = 4.4268 Å, b = 4.4268 Å, c = 4.4268 Å
α = 128.32°, β = 128.32°, γ = 76.11°
Site moments in Bohr magnetons follow the coordinates.
Element x y z (fractional)
Mn: 0.2500 0.7500 0.5000  3.04
Pt: 0.5000 0.5000 0.0000  0.13
Si: 0.7500 0.2500 0.5000  0.02
Mn: 0.0000 0.0000 0.0000  -1.46

Record 2
First-principles (PBE) data for crystalline Ga3PtBr at its relaxed geometry, as listed in Alexandria.

Output
crystal system: cubic
formation energy from raw total energies: 0.8132 eV/atom
total DFT energy (no corrections): -2.55 eV/atom
offset from the most stable computed form: 132.4 kJ per mole of atoms

a = 5.3858 Å, b = 5.3858 Å, c = 5.3858 Å
α = 90.00°, β = 90.00°, γ = 90.00°
Element x y z (fractional)
Ga: 0.0000 0.0000 0.5000
Ga: 0.0000 0.5000 0.0000
Ga: 0.5000 0.0000 0.0000
Pt: 0.5000 0.5000 0.5000
Br: 0.0000 0.0000 0.0000

Record 3
First-principles (PBE) data for crystalline Sr3Sm3MgSe8 at its relaxed geometry, as listed in Alexandria.

Output
crystal system: trigonal
formation energy from raw total energies: -1.8357 eV/atom
total DFT energy (no corrections): -5.08 eV/atom

a = 8.4301 Å, b = 8.4300 Å, c = 8.6579 Å
α = 119.13°, β = 90.00°, γ = 120.00°
Element x y z (fractional)
Se: 0.7517 0.9876 0.7234
Se: 0.2546 0.5092 0.2639
Sm: 0.5000 0.0000 0.5000
Sr: 0.0000 0.5000 0.0000
Sr: 0.5000 0.5000 0.0000
Se: 0.7641 0.0124 0.2766
Sr: 0.0000 0.0000 0.0000
Mg: 0.0000 0.0000 0.5000
Se: 0.2483 0.0124 0.2766
Se: 0.2358 0.4716 0.7233
Se: 0.7642 0.5284 0.2767
Se: 0.7454 0.4908 0.7361
Se: 0.2359 0.9876 0.7234
Sm: 0.0000 0.5000 0.5000
Sm: 0.5000 0.5000 0.5000

Record 4
First-principles (PBE) data for crystalline RbAg2MoSe at its relaxed geometry, as listed in Alexandria.

Output
crystal system: tetragonal
formation energy from raw total energies: 0.9917 eV/atom
total DFT energy (no corrections): -3.21 eV/atom

a = 5.1702 Å, b = 5.1702 Å, c = 6.3390 Å
α = 90.00°, β = 90.00°, γ = 90.00°
Site moments in Bohr magnetons follow the coordinates.
Element x y z (fractional)
Ag: 0.5000 0.0000 0.0000  0.00
Rb: 0.0000 0.0000 0.5000  0.03
Mo: 0.5000 0.5000 0.5000  4.00
Ag: 0.0000 0.5000 0.0000  0.00
Se: 0.0000 0.0000 0.0000  0.02

Record 5
First-principles (PBE) data for crystalline PrNd5Sm4 at its relaxed geometry, as listed in Alexandria.

Output
crystal system: monoclinic
total DFT energy (no corrections): -4.60 eV/atom
offset from the most stable computed form: 1.2 kJ per mole of atoms
calculated formation energy: 0.153 eV/atom

a = 3.6406 Å, b = 10.6979 Å, c = 9.4079 Å
α = 84.39°, β = 101.16°, γ = 90.00°
Element x y z (fractional)
Nd: 0.1905 0.4037 0.3810
Nd: 0.8095 0.5963 0.6190
Sm: 0.9545 0.7574 0.9090
Nd: 0.5000 0.5000 0.0000
Sm: 0.0455 0.2426 0.0910
Sm: 0.6838 0.0913 0.3676
Sm: 0.3162 0.9087 0.6324
Nd: 0.8580 0.2370 0.7159
Pr: 0.5000 0.0000 0.0000
Nd: 0.1420 0.7630 0.2841

Record 6
First-principles (PBE) data for crystalline NbNiGe at its relaxed geometry, as listed in Alexandria.

Output
crystal system: tetragonal
total DFT energy (no corrections): -7.28 eV/atom
calculated formation energy: -0.461 eV/atom

a = 3.6530 Å, b = 3.6530 Å, c = 6.5689 Å
α = 90.00°, β = 90.00°, γ = 90.00°
Element x y z (fractional)
Ni: 0.0000 0.0000 0.0000
Nb: 0.5000 0.0000 0.6436
Nb: 0.0000 0.5000 0.3564
Ge: 0.0000 0.5000 0.7646
Ni: 0.5000 0.5000 0.0000
Ge: 0.5000 0.0000 0.2354

Which of these has the highest total DFT energy (no corrections)?
Ga3PtBr

Number 5 is which compound?
PrNd5Sm4

What did the sixth record say?
First-principles (PBE) data for crystalline NbNiGe at its relaxed geometry, as listed in Alexandria.

Output
crystal system: tetragonal
total DFT energy (no corrections): -7.28 eV/atom
calculated formation energy: -0.461 eV/atom

a = 3.6530 Å, b = 3.6530 Å, c = 6.5689 Å
α = 90.00°, β = 90.00°, γ = 90.00°
Element x y z (fractional)
Ni: 0.0000 0.0000 0.0000
Nb: 0.5000 0.0000 0.6436
Nb: 0.0000 0.5000 0.3564
Ge: 0.0000 0.5000 0.7646
Ni: 0.5000 0.5000 0.0000
Ge: 0.5000 0.0000 0.2354